# 1
## AcGdCu2 (PBE-GGA)

Data for crystalline AcGdCu2 at its relaxed geometry.

Lattice parameters (Å, degrees): 3.6616 3.6616 7.2544 90.00 90.00 90.00
Last column: nearest neighbours and their distance in Å.
Positions (direct):
1 Ac 0.5000 0.5000 0.5000  8 Cu 3.33, 2 Gd 3.63, 4 Ac 3.66
2 Cu 0.0000 0.0000 0.2124  4 Gd 3.01, 1 Cu 3.08, 4 Ac 3.33
3 Gd 0.5000 0.5000 0.0000  8 Cu 3.01
4 Cu 0.0000 0.0000 0.7876  4 Gd 3.01, 1 Cu 3.08, 4 Ac 3.33

Computed properties:
The relative energy among the computed polymorphs comes out at 0 meV per atom. The calculation puts the density of states at the Fermi level at 0.670 states/eV per atom.

---

# 2
## AcGdCu2 (PBE-GGA)

Data for crystalline AcGdCu2 at its relaxed geometry.

Lattice parameters (Å, degrees): 4.9325 4.9325 5.6050 63.90 63.90 60.00
Last column: nearest neighbours and their distance in Å.
Positions (direct):
1 Cu 0.7150 0.7150 0.8551  3 Gd 2.93, 1 Ac 3.11, 3 Cu 3.17
2 Cu 0.2850 0.2850 0.1449  3 Gd 2.93, 1 Ac 3.11, 3 Cu 3.17
3 Gd 0.0000 0.0000 0.0000  6 Cu 2.93
4 Ac 0.5000 0.5000 0.5000  8 Cu 3.11-3.32

Computed properties:
The relative energy among the computed polymorphs comes out at 27 meV per atom. The calculation puts the density of states at the Fermi level at 0.630 states/eV per atom.

---

# 3
## AcGdCu (PBE-GGA)

Data for crystalline AcGdCu at its relaxed geometry.

Lattice parameters (Å, degrees): 4.6434 4.7611 4.7611 120.00 90.00 90.00
Last column: nearest neighbours and their distance in Å.
Positions (direct):
1 Ac 0.0007 0.0000 0.0000  6 Cu 3.59-3.61, 6 Gd 3.60
2 Gd 0.5010 0.6667 0.3333  3 Cu 2.75
3 Cu 0.4983 0.3333 0.6667  3 Gd 2.75

Computed properties:
The relative energy among the computed polymorphs comes out at 127 meV per atom. The calculation puts the density of states at the Fermi level at 1.173 states/eV per atom.

---

# 4
## AcGdCuGe (PBE-GGA)

Data for crystalline AcGdCuGe at its relaxed geometry.

Lattice parameters (Å, degrees): 5.2576 5.2576 5.2576 60.00 60.00 60.00
Last column: nearest neighbours and their distance in Å.
Positions (direct):
1 Ac 0.0000 0.0000 0.0000  4 Ge 3.22, 4 Cu 3.22
2 Gd 0.5000 0.5000 0.5000  4 Cu 3.22, 4 Ge 3.22
3 Ge 0.7500 0.7500 0.7500  4 Ac 3.22, 4 Gd 3.22
4 Cu 0.2500 0.2500 0.2500  4 Gd 3.22, 4 Ac 3.22

Computed properties:
The calculation puts the density of states at the Fermi level at 1.092 states/eV per atom.

---

# 5
## AcGdCuHg (PBE-GGA)

Data for crystalline AcGdCuHg at its relaxed geometry.

Lattice parameters (Å, degrees): 5.3875 5.3875 5.3875 60.00 60.00 60.00
Last column: nearest neighbours and their distance in Å.
Positions (direct):
1 Hg 0.0000 0.0000 0.0000  4 Gd 3.30, 4 Ac 3.30
2 Gd 0.7500 0.7500 0.7500  4 Cu 3.30, 4 Hg 3.30
3 Cu 0.5000 0.5000 0.5000  4 Ac 3.30, 4 Gd 3.30
4 Ac 0.2500 0.2500 0.2500  4 Hg 3.30, 4 Cu 3.30

Computed properties:
The calculation puts the density of states at the Fermi level at 1.027 states/eV per atom.

---

# 6
## AcGdInCu (PBE-GGA)

Data for crystalline AcGdInCu at its relaxed geometry.

Lattice parameters (Å, degrees): 5.4402 5.4402 5.4402 60.00 60.00 60.00
Last column: nearest neighbours and their distance in Å.
Positions (direct):
1 Cu 0.5000 0.5000 0.5000  4 Gd 3.33, 4 Ac 3.33
2 In 0.0000 0.0000 0.0000  4 Gd 3.33, 4 Ac 3.33
3 Ac 0.2500 0.2500 0.2500  4 In 3.33, 4 Cu 3.33
4 Gd 0.7500 0.7500 0.7500  4 Cu 3.33, 4 In 3.33

Computed properties:
The calculation puts the density of states at the Fermi level at 1.237 states/eV per atom.

---

# 7
## LiAcGdCu (PBE-GGA)

Data for crystalline LiAcGdCu at its relaxed geometry.

Lattice parameters (Å, degrees): 5.2983 5.2983 5.2983 60.00 60.00 60.00
Last column: nearest neighbours and their distance in Å.
Positions (direct):
1 Li 0.0000 0.0000 0.0000  4 Gd 3.24, 4 Ac 3.24
2 Cu 0.5000 0.5000 0.5000  4 Ac 3.24, 4 Gd 3.24
3 Ac 0.2500 0.2500 0.2500  4 Li 3.24, 4 Cu 3.24
4 Gd 0.7500 0.7500 0.7500  4 Cu 3.24, 4 Li 3.24

Computed properties:
The calculation puts the density of states at the Fermi level at 1.226 states/eV per atom.

---

# 8
## AcGdCuPb (PBE-GGA)

Data for crystalline AcGdCuPb at its relaxed geometry.

Lattice parameters (Å, degrees): 5.4912 5.4912 5.4912 60.00 60.00 60.00
Last column: nearest neighbours and their distance in Å.
Positions (direct):
1 Pb 0.7500 0.7500 0.7500  4 Gd 3.36, 4 Ac 3.36
2 Cu 0.2500 0.2500 0.2500  4 Ac 3.36, 4 Gd 3.36
3 Gd 0.5000 0.5000 0.5000  4 Pb 3.36, 4 Cu 3.36
4 Ac 0.0000 0.0000 0.0000  4 Pb 3.36, 4 Cu 3.36

Computed properties:
The calculation puts the density of states at the Fermi level at 0.989 states/eV per atom.

---

# 9
## AcGdCuRu (PBE-GGA)

Data for crystalline AcGdCuRu at its relaxed geometry.

Lattice parameters (Å, degrees): 5.0908 5.0908 5.0908 60.00 60.00 60.00
Last column: nearest neighbours and their distance in Å.
Positions (direct):
1 Cu 0.2500 0.2500 0.2500  4 Gd 3.12, 4 Ac 3.12
2 Ac 0.5000 0.5000 0.5000  4 Ru 3.12, 4 Cu 3.12
3 Gd 0.0000 0.0000 0.0000  4 Cu 3.12, 4 Ru 3.12
4 Ru 0.7500 0.7500 0.7500  4 Gd 3.12, 4 Ac 3.12

Computed properties:
The calculation puts the density of states at the Fermi level at 0.578 states/eV per atom.

---

# 10
## AcGdCuSb (PBE-GGA)

Data for crystalline AcGdCuSb at its relaxed geometry.

Lattice parameters (Å, degrees): 5.4266 5.4266 5.4266 60.00 60.00 60.00
Last column: nearest neighbours and their distance in Å.
Positions (direct):
1 Cu 0.2500 0.2500 0.2500  4 Gd 3.32, 4 Ac 3.32
2 Ac 0.5000 0.5000 0.5000  4 Cu 3.32, 4 Sb 3.32
3 Gd 0.0000 0.0000 0.0000  4 Sb 3.32, 4 Cu 3.32
4 Sb 0.7500 0.7500 0.7500  4 Gd 3.32, 4 Ac 3.32

Computed properties:
The value obtained for the formation energy from raw total energies is -0.45 eV/atom. The calculation puts the density of states at the Fermi level at 1.648 states/eV per atom.

---

# 11
## AcGdCuSi (PBE-GGA)

Data for crystalline AcGdCuSi at its relaxed geometry.

Lattice parameters (Å, degrees): 5.2142 5.2142 5.2142 60.00 60.00 60.00
Last column: nearest neighbours and their distance in Å.
Positions (direct):
1 Si 0.7500 0.7500 0.7500  4 Gd 3.19, 4 Ac 3.19
2 Ac 0.5000 0.5000 0.5000  4 Cu 3.19, 4 Si 3.19
3 Gd 0.0000 0.0000 0.0000  4 Si 3.19, 4 Cu 3.19
4 Cu 0.2500 0.2500 0.2500  4 Gd 3.19, 4 Ac 3.19

Computed properties:
The value obtained for the formation energy from raw total energies is -0.30 eV/atom. The calculation puts the density of states at the Fermi level at 1.082 states/eV per atom.

---

# 12
## AcGdTlCu (PBE-GGA)

Data for crystalline AcGdTlCu at its relaxed geometry.

Lattice parameters (Å, degrees): 5.4612 5.4612 5.4612 60.00 60.00 60.00
Last column: nearest neighbours and their distance in Å.
Positions (direct):
1 Tl 0.2500 0.2500 0.2500  4 Gd 3.34, 4 Ac 3.34
2 Cu 0.7500 0.7500 0.7500  4 Ac 3.34, 4 Gd 3.34
3 Ac 0.0000 0.0000 0.0000  4 Tl 3.34, 4 Cu 3.34
4 Gd 0.5000 0.5000 0.5000  4 Cu 3.34, 4 Tl 3.34

Computed properties:
The calculation puts the density of states at the Fermi level at 1.288 states/eV per atom.

---

# 13
## Ac4Cu3Ge (PBE-GGA)

Data for crystalline Ac4Cu3Ge at its relaxed geometry.

Lattice parameters (Å, degrees): 4.4028 4.4870 11.5496 90.00 90.00 90.00
Last column: nearest neighbours and their distance in Å.
Positions (direct):
1 Ac 0.0000 0.5000 0.8559  5 Cu 3.28-3.42, 2 Ge 3.29
2 Ge 0.5000 0.5000 0.0679  2 Cu 2.71
3 Cu 0.0000 0.5000 0.5595  2 Cu 2.65
4 Cu 0.0000 0.0000 0.4368  2 Cu 2.65
5 Ac 0.0000 0.0000 0.1446  3 Cu 3.26-3.38, 4 Ge 3.27
6 Ac 0.5000 0.5000 0.3589  6 Cu 3.20-3.27, 1 Ge 3.36
7 Cu 0.5000 0.0000 0.9364  2 Ge 2.71
8 Ac 0.5000 0.0000 0.6400  7 Cu 3.22-3.42

Computed properties:
The calculation puts the density of states at the Fermi level at 1.082 states/eV per atom.

---

Number 1: calculated total energy -6.73 eV/atom. Number 2: calculated total energy -6.71 eV/atom. Number 3: calculated total energy -7.36 eV/atom. Number 4: calculated total energy -7.11 eV/atom. Number 5: calculated total energy -5.90 eV/atom. Number 6: calculated total energy -6.48 eV/atom. Number 7: calculated total energy -6.02 eV/atom. Number 8: calculated total energy -6.76 eV/atom. Number 9: calculated total energy -8.02 eV/atom. Number 10: calculated total energy -7.05 eV/atom. Number 11: calculated total energy -7.22 eV/atom. Number 12: calculated total energy -6.34 eV/atom. Number 13: calculated total energy -4.44 eV/atom.